Below is a relaxed structure of Fe2IrW, with properties calculated at the PBE-GGA level.

abc: 8.5727 8.5727 8.5727
angles: 18.57 18.57 18.57
Last column: nearest neighbours and their distance in Å.
Element x y z (fractional)
Fe 0.0000 0.0000 0.0000  3 Fe 2.46, 3 W 2.72
Fe 0.2593 0.2593 0.2593  3 Fe 2.46, 3 Ir 2.67
Ir 0.5078 0.5078 0.5078  3 Fe 2.67, 3 W 2.72, 6 Ir 2.77
W 0.7540 0.7540 0.7540  3 Ir 2.72, 3 Fe 2.72, 6 W 2.77

Summary:
volume = 55.81 Å³ per cell
formation energy = 0.1225 eV per atom